First-principles (GGA-PBE) data for NbPO5 after structural relaxation, as listed in OQMD via LeMat-Bulk.

Structure (POSCAR):
```
NbPO5
1.0
-5.515 -3.895 9.148
4.121 -5.277 0.238
3.319 2.734 3.165
O P Nb
20 4 4
direct
0.713 0.022 0.999
0.635 0.378 0.778
0.493 0.976 0.226
0.213 0.478 0.999
0.086 0.831 0.506
0.880 0.833 0.808
0.414 0.331 0.006
0.135 0.122 0.778
0.120 0.167 0.308
0.865 0.878 0.278
0.787 0.522 0.499
0.620 0.333 0.308
0.007 0.476 0.726
0.287 0.978 0.499
0.586 0.669 0.506
0.914 0.169 0.006
0.365 0.622 0.278
0.507 0.024 0.726
0.993 0.524 0.226
0.380 0.667 0.808
0.345 0.527 0.022
0.155 0.027 0.522
0.845 0.973 0.022
0.655 0.473 0.522
0.438 0.831 0.509
0.938 0.669 0.509
0.062 0.331 0.009
0.562 0.169 0.009
```

Results
- crystal system = orthorhombic
- offset from the most stable computed form (eV per atom) = 0.0000


First-principles (GGA-PBE) data for NbPO5 after structural relaxation, as listed in OQMD via LeMat-Bulk.

Structure (POSCAR):
```
NbPO5
1.0
3.787 -3.464 0.000
3.787 3.464 0.000
-3.688 0.000 6.496
O Nb P
10 2 2
direct
0.569 0.531 0.539
0.877 0.322 0.796
0.895 0.841 0.891
0.085 0.536 0.622
0.322 0.877 0.296
0.381 0.045 0.719
0.531 0.569 0.039
0.536 0.085 0.122
0.045 0.381 0.219
0.841 0.895 0.391
0.220 0.747 0.488
0.747 0.220 0.988
0.556 0.857 0.212
0.857 0.556 0.712
```

Results
- crystal system = monoclinic
- offset from the most stable computed form (eV per atom) = 0.0418


First-principles (GGA-PBE) data for Nb2P3O12 after structural relaxation, as listed in OQMD via LeMat-Bulk.

Structure (POSCAR):
```
Nb2P3O12
1.0
8.463 -1.753 -1.524
2.525 -8.209 -1.804
-4.677 4.560 -5.947
O Nb P
24 4 6
direct
0.130 0.502 0.924
0.416 0.784 0.757
0.284 0.916 0.257
0.792 0.002 0.424
0.498 0.708 0.076
0.208 0.998 0.576
0.057 0.284 0.257
0.943 0.716 0.743
0.443 0.584 0.243
0.716 0.084 0.743
0.870 0.498 0.076
0.084 0.943 0.743
0.370 0.208 0.576
0.916 0.057 0.257
0.292 0.130 0.924
0.708 0.870 0.076
0.502 0.292 0.924
0.998 0.370 0.576
0.557 0.416 0.757
0.584 0.216 0.243
0.002 0.630 0.424
0.630 0.792 0.424
0.784 0.557 0.757
0.216 0.443 0.243
0.862 0.862 0.586
0.638 0.638 0.914
0.362 0.362 0.086
0.138 0.138 0.414
0.750 0.034 0.250
0.034 0.466 0.250
0.250 0.966 0.750
0.966 0.534 0.750
0.466 0.750 0.250
0.534 0.250 0.750
```

Results
- raw total energy (eV/atom) = -7.987
- crystal system = trigonal


First-principles (GGA-PBE) data for NbPPbO5 after structural relaxation, as listed in OQMD via LeMat-Bulk.

Structure (POSCAR):
```
NbPPbO5
1.0
-4.722 1.348 -3.448
5.243 -1.162 -3.631
-1.529 -5.980 2.415
O Nb Pb P
10 2 2 2
direct
0.375 0.783 0.762
0.343 0.101 0.619
0.625 0.217 0.238
0.282 0.448 0.024
0.032 0.909 0.802
0.968 0.091 0.198
0.002 0.688 0.422
0.657 0.899 0.381
0.718 0.552 0.976
0.998 0.312 0.578
0.589 0.537 0.268
0.411 0.463 0.732
0.170 0.828 0.139
0.830 0.172 0.861
0.184 0.870 0.652
0.816 0.130 0.348
```

Results
- raw total energy (eV/atom) = -7.339
- crystal system = triclinic


First-principles (GGA-PBE) data for NbPPdO after structural relaxation, as listed in OQMD via LeMat-Bulk.

Structure (POSCAR):
```
NbPPdO
1.0
-2.126 0.556 -4.324
0.208 -4.792 -0.719
-4.185 -0.481 1.996
Nb P O Pd
2 2 2 2
direct
0.500 0.500 0.500
0.000 0.000 0.500
0.000 0.500 0.645
0.500 0.000 0.355
0.000 0.000 0.000
0.500 0.500 0.000
0.500 0.000 0.856
0.000 0.500 0.144
```

Results
- crystal system = tetragonal
- offset from the most stable computed form (eV per atom) = 0.3591


First-principles (GGA-PBE) data for NbPPdO after structural relaxation, as listed in OQMD via LeMat-Bulk.

Structure (POSCAR):
```
NbPPdO
1.0
-1.202 2.358 -2.183
-5.090 -3.567 -1.051
-2.839 2.724 4.507
Pd Nb P O
2 2 2 2
direct
0.500 0.755 0.068
0.500 0.245 0.568
0.000 0.625 0.464
0.000 0.375 0.964
0.500 0.109 0.927
0.500 0.891 0.427
0.000 0.650 0.795
0.000 0.350 0.295
```

Results
- crystal system = orthorhombic
- offset from the most stable computed form (eV per atom) = 0.1010


First-principles (GGA-PBE) data for NbPPdO after structural relaxation, as listed in OQMD via LeMat-Bulk.

Structure (POSCAR):
```
NbPPdO
1.0
-0.497 -1.917 -3.035
-2.374 -2.122 1.730
-5.941 4.910 -2.129
Nb P O Pd
2 2 2 2
direct
0.500 0.000 0.838
0.000 0.500 0.162
0.500 0.000 0.290
0.000 0.500 0.710
0.500 0.500 0.000
0.000 0.000 0.000
0.000 0.000 0.500
0.500 0.500 0.500
```

Results
- crystal system = tetragonal
- offset from the most stable computed form (eV per atom) = 0.0000


First-principles (GGA-PBE) data for NbPPdO after structural relaxation, as listed in OQMD via LeMat-Bulk.

Structure (POSCAR):
```
NbPPdO
1.0
-1.060 -3.439 0.265
5.626 -1.634 1.299
-1.145 0.814 5.983
Pd P Nb O
2 2 2 2
direct
0.500 0.237 0.068
0.500 0.763 0.568
0.000 0.772 0.331
0.000 0.228 0.831
0.000 0.840 0.934
0.000 0.160 0.434
0.500 0.295 0.420
0.500 0.705 0.920
```

Results
- crystal system = orthorhombic
- offset from the most stable computed form (eV per atom) = 0.0668


First-principles (GGA-PBE) data for PmNbP2O after structural relaxation, as listed in OQMD via LeMat-Bulk.

Structure (POSCAR):
```
PmNbP2O
1.0
-4.410 0.441 -0.290
-0.724 -4.957 3.481
0.023 3.676 5.240
P O Pm Nb
4 2 2 2
direct
0.500 0.941 0.259
0.000 0.250 0.615
0.000 0.750 0.115
0.500 0.059 0.759
0.500 0.411 0.121
0.500 0.589 0.621
0.000 0.227 0.062
0.000 0.773 0.562
0.500 0.694 0.945
0.500 0.306 0.445
```

Results
- raw total energy (eV/atom) = -7.383
- crystal system = orthorhombic


First-principles (GGA-PBE) data for NbPPtO after structural relaxation, as listed in OQMD via LeMat-Bulk.

Structure (POSCAR):
```
NbPPtO
1.0
4.804 0.000 0.000
0.000 4.804 0.000
0.000 0.000 4.759
P Nb O Pt
2 2 2 2
direct
0.500 0.000 0.327
0.000 0.500 0.673
0.000 0.000 0.500
0.500 0.500 0.500
0.500 0.500 0.000
0.000 0.000 0.000
0.000 0.500 0.167
0.500 0.000 0.833
```

Results
- crystal system = tetragonal
- offset from the most stable computed form (eV per atom) = 0.4949


First-principles (GGA-PBE) data for NbPPtO after structural relaxation, as listed in OQMD via LeMat-Bulk.

Structure (POSCAR):
```
NbPPtO
1.0
-2.015 -1.298 -1.632
-1.424 -3.643 4.656
-4.944 4.827 2.264
Nb Pt P O
2 2 2 2
direct
0.500 0.930 0.502
0.500 0.070 0.002
0.000 0.423 0.111
0.000 0.577 0.611
0.000 0.284 0.403
0.000 0.716 0.903
0.500 0.097 0.738
0.500 0.903 0.238
```

Results
- crystal system = orthorhombic
- offset from the most stable computed form (eV per atom) = 0.0000


First-principles (GGA-PBE) data for NbPPtO after structural relaxation, as listed in OQMD via LeMat-Bulk.

Structure (POSCAR):
```
NbPPtO
1.0
3.691 0.000 0.000
0.000 3.691 0.000
0.000 0.000 7.837
Pt Nb O P
2 2 2 2
direct
0.000 0.000 0.500
0.500 0.500 0.500
0.500 0.000 0.838
0.000 0.500 0.162
0.500 0.500 0.000
0.000 0.000 0.000
0.000 0.500 0.714
0.500 0.000 0.286
```

Results
- crystal system = tetragonal
- offset from the most stable computed form (eV per atom) = 0.0977


First-principles (GGA-PBE) data for RbNbPO after structural relaxation, as listed in OQMD via LeMat-Bulk.

Structure (POSCAR):
```
RbNbPO
1.0
4.166 0.000 0.000
0.000 4.166 0.000
0.000 0.000 11.543
O P Rb Nb
2 2 2 2
direct
0.500 0.000 0.000
0.000 0.500 0.000
0.000 0.000 0.619
0.500 0.500 0.381
0.000 0.000 0.150
0.500 0.500 0.850
0.000 0.500 0.500
0.500 0.000 0.500
```

Results
- crystal system = tetragonal
- offset from the most stable computed form (eV per atom) = 0.8615


First-principles (GGA-PBE) data for RbNbPO after structural relaxation, as listed in OQMD via LeMat-Bulk.

Structure (POSCAR):
```
RbNbPO
1.0
-3.580 -1.037 -0.671
0.652 -3.333 1.676
-2.723 3.811 8.639
O Nb Rb P
2 2 2 2
direct
0.250 0.750 0.000
0.750 0.250 0.000
0.750 0.750 0.884
0.250 0.250 0.116
0.250 0.750 0.500
0.750 0.250 0.500
0.750 0.750 0.240
0.250 0.250 0.760
```

Results
- crystal system = tetragonal
- offset from the most stable computed form (eV per atom) = 0.7235


First-principles (GGA-PBE) data for RbNbPO after structural relaxation, as listed in OQMD via LeMat-Bulk.

Structure (POSCAR):
```
RbNbPO
1.0
3.863 0.000 0.000
0.000 8.234 0.000
0.000 0.000 6.502
P O Rb Nb
2 2 2 2
direct
0.500 0.764 0.451
0.500 0.236 0.951
0.000 0.583 0.825
0.000 0.417 0.325
0.500 0.175 0.457
0.500 0.825 0.957
0.000 0.401 0.021
0.000 0.599 0.521
```

Results
- crystal system = orthorhombic
- offset from the most stable computed form (eV per atom) = 0.0000


First-principles (GGA-PBE) data for RbNbP2O8 after structural relaxation, as listed in OQMD via LeMat-Bulk.

Structure (POSCAR):
```
RbNbP2O8
1.0
-6.941 -4.813 1.539
-3.108 -7.559 2.629
-4.697 -4.257 5.790
O P Nb Rb
8 2 1 1
direct
0.257 0.002 0.597
0.597 0.257 0.002
0.200 0.200 0.200
0.743 0.998 0.403
0.002 0.597 0.257
0.800 0.800 0.800
0.403 0.743 0.998
0.998 0.403 0.743
0.260 0.260 0.260
0.740 0.740 0.740
0.000 0.000 0.000
0.500 0.500 0.500
```

Results
- raw total energy (eV/atom) = -7.454
- crystal system = trigonal


First-principles (GGA-PBE) data for RbNbP2O8 after structural relaxation, as listed in OQMD via LeMat-Bulk.

Structure (POSCAR):
```
RbNbP2O8
1.0
5.153 0.000 0.000
0.000 11.912 0.000
-5.152 0.000 11.762
O Rb Nb P
32 4 4 8
direct
0.563 0.706 0.129
0.035 0.875 0.827
0.116 0.751 0.154
0.683 0.031 0.653
0.437 0.206 0.371
0.317 0.969 0.347
0.753 0.017 0.317
0.794 0.896 0.488
0.437 0.294 0.871
0.633 0.095 0.905
0.247 0.983 0.683
0.247 0.517 0.183
0.035 0.625 0.327
0.206 0.396 0.012
0.965 0.375 0.673
0.884 0.251 0.346
0.794 0.604 0.988
0.884 0.249 0.846
0.584 0.683 0.796
0.206 0.104 0.512
0.367 0.905 0.095
0.367 0.595 0.595
0.563 0.794 0.629
0.633 0.405 0.405
0.753 0.483 0.817
0.317 0.531 0.847
0.416 0.317 0.204
0.965 0.125 0.173
0.416 0.183 0.704
0.584 0.817 0.296
0.683 0.469 0.153
0.116 0.749 0.654
0.696 0.628 0.459
0.304 0.372 0.541
0.696 0.872 0.959
0.304 0.128 0.041
0.080 0.388 0.822
0.080 0.112 0.322
0.920 0.612 0.178
0.920 0.888 0.678
0.399 0.700 0.660
0.618 0.930 0.369
0.382 0.430 0.131
0.399 0.800 0.160
0.601 0.200 0.840
0.618 0.570 0.869
0.601 0.300 0.340
0.382 0.070 0.631
```

Results
- raw total energy (eV/atom) = -7.474
- crystal system = monoclinic


First-principles (GGA-PBE) data for RbNbP2O8 after structural relaxation, as listed in OQMD via LeMat-Bulk.

Structure (POSCAR):
```
RbNbP2O8
1.0
4.874 0.000 0.000
-2.437 4.221 0.000
0.000 0.000 8.568
O P Rb Nb
8 2 1 1
direct
0.708 0.647 0.361
0.353 0.061 0.361
0.667 0.333 0.115
0.292 0.353 0.639
0.647 0.939 0.639
0.939 0.292 0.361
0.333 0.667 0.885
0.061 0.708 0.639
0.333 0.667 0.711
0.667 0.333 0.289
0.000 0.000 0.000
0.000 0.000 0.500
```

Results
- raw total energy (eV/atom) = -7.475
- crystal system = trigonal


First-principles (GGA-PBE) data for NbSbPO after structural relaxation, as listed in OQMD via LeMat-Bulk.

Structure (POSCAR):
```
NbSbPO
1.0
2.839 -2.839 0.000
2.839 2.839 0.000
0.000 0.000 8.526
Sb O Nb P
2 2 2 2
direct
0.500 0.000 0.500
0.000 0.500 0.500
0.000 0.500 0.000
0.500 0.000 0.000
0.000 0.000 0.102
0.500 0.500 0.898
0.500 0.500 0.220
0.000 0.000 0.780
```

Results
- crystal system = tetragonal
- offset from the most stable computed form (eV per atom) = 0.5245


| no. | spin magnetization (μB per cell) |
| --- | --- |
| 1 | 0.01 |
| 2 | 0.00 |
| 3 | 2.01 |
| 4 | 4.00 |
| 5 | 0.00 |
| 6 | 0.01 |
| 7 | 0.00 |
| 8 | 0.00 |
| 9 | 0.00 |
| 10 | 0.00 |
| 11 | 0.00 |
| 12 | 0.01 |
| 13 | 0.00 |
| 14 | 1.73 |
| 15 | 1.56 |
| 16 | 0.00 |
| 17 | 0.02 |
| 18 | 0.00 |
| 19 | 0.18 |